[1]
Nd6Si2Ge | Alexandria via LeMat-Bulk | PBE | relaxed; ΔE to the lowest computed polymorph = 96 meV per atom
1.0
6.303 0.000 0.276
0.000 8.306 0.000
-0.403 0.000 10.052
Si Nd Ge
4 12 2
Cartesian
3.318 7.311 7.705
5.533 3.158 7.787
2.583 0.995 2.623
0.367 5.148 2.541
3.707 1.486 5.824
0.514 0.329 7.773
2.194 6.820 4.504
5.200 5.561 5.872
0.756 2.667 0.660
0.700 2.745 4.456
3.867 3.824 2.885
3.650 1.408 9.620
2.033 4.482 7.443
5.386 7.977 2.555
2.250 6.898 0.708
5.144 5.639 9.667
3.152 4.153 0.138
-0.201 0.000 5.026

[2]
Nd2SiGe | PBE | relaxed

Structure (POSCAR):
```
Nd2SiGe
1.0
-2.741 0.781 -2.823
-4.335 -1.492 3.797
2.024 8.716 0.446
Ge Nd Si
2 4 2
Cartesian
-4.307 2.124 0.495
-0.745 5.881 0.926
-1.124 8.381 -0.865
-2.154 3.990 -1.080
-3.928 -0.376 2.286
-2.898 4.015 2.500
-1.762 1.522 0.707
-3.290 6.483 0.713
```

[3]
NdSiGe | Alexandria via LeMat-Bulk | PBE | relaxed; ΔE to the lowest computed polymorph = 64 meV per atom
1.0
4.116 0.000 0.000
0.000 4.311 0.000
0.000 -2.155 3.733
Si Ge Nd
1 1 1
Cartesian
0.686 0.000 0.000
0.686 0.000 2.489
2.744 2.155 1.244

[4]
Nd2Si3Ge | PBE | relaxed

Structure (POSCAR):
```
Nd2Si3Ge
1.0
4.183 0.000 0.000
0.000 4.001 0.000
0.000 0.000 7.701
Nd Si Ge
2 3 1
Cartesian
0.000 0.000 3.937
0.000 2.001 7.651
2.092 0.000 6.442
2.092 2.001 5.169
2.092 0.000 1.154
2.092 2.001 2.601
```

[5]
Nd5Si2Ge5 | PBE | relaxed

Structure (POSCAR):
```
Nd5Si2Ge5
1.0
-2.425 -3.392 -0.105
4.901 -6.074 0.184
-1.475 -1.788 9.029
Nd Ge Si
5 5 2
Cartesian
3.150 -7.478 3.155
-2.149 -3.776 5.953
1.713 -3.931 4.606
0.584 -3.003 0.676
0.417 -8.252 8.432
-2.011 -6.481 7.301
-1.130 -4.418 3.130
2.131 -6.837 5.978
0.000 0.000 0.000
3.012 -4.774 1.807
0.287 -5.548 6.925
0.714 -5.707 2.183
```

[6]
NdSiGe | Alexandria via LeMat-Bulk | PBE | relaxed; ΔE to the lowest computed polymorph = 0 meV per atom
1.0
8.285 0.031 -0.003
6.201 5.494 0.003
-7.240 -2.771 2.923
Ge Nd Si
2 2 2
Cartesian
3.562 3.703 0.733
3.685 -0.949 2.191
5.779 1.420 0.730
1.467 1.334 2.193
1.335 -1.845 2.191
5.912 4.599 0.733

[7]
NdSiGe2 | Alexandria via LeMat-Bulk | PBE | relaxed; ΔE to the lowest computed polymorph = 675 meV per atom
1.0
5.084 0.000 0.000
2.542 4.403 0.000
2.542 1.468 6.109
Ge Nd Si
2 1 1
Cartesian
7.626 4.403 2.267
2.542 1.468 3.842
5.084 2.935 3.054
0.000 0.000 0.000

[8]
Nd3SiGe2 | PBE | relaxed

Structure (POSCAR):
```
Nd3SiGe2
1.0
4.202 0.000 0.000
0.000 12.045 0.000
0.000 0.000 11.996
Ge Nd Si
8 12 4
Cartesian
1.051 8.342 5.729
3.152 2.320 0.269
3.152 11.930 8.313
1.051 0.116 3.683
1.051 5.907 9.681
3.152 6.139 2.315
3.152 3.703 6.267
1.051 9.726 11.727
3.152 3.527 9.496
3.152 7.490 11.255
3.152 10.579 5.257
1.051 9.549 8.498
1.051 1.467 6.739
3.152 11.375 1.392
3.152 6.693 7.390
1.051 8.519 2.500
3.152 2.496 3.498
1.051 0.671 10.604
1.051 4.556 0.741
1.051 5.352 4.606
1.051 1.558 1.581
3.152 7.580 4.417
1.051 4.465 7.579
3.152 10.488 10.415
```

Computed values of calculated total energy (unit: eV for the cell shown) for the preceding records, in sequence: -95.96 -45.53 -16.41 -33.82 -66.40 -33.22 -17.91 -133.48.
Computed values of D(E_F) (unit: states/eV/cell) for the preceding records, in sequence: 17.2 6.6 2.7 3.0 6.0 2.2 2.9 17.1.
Computed values of energy relative to the elements, uncorrected (unit: kJ per mole of atoms) for the preceding records, in sequence: -42 -77 -52 -55 -69 -58 37 -71.